DFT (PBE) results for a relaxed structure of Cd2GePPt6.

Unit cell a=5.5173 b=8.0107 c=8.5299 alpha=90.00 beta=90.00 gamma=90.00
Element x y z (fractional)
Pt 0.7456 0.5370 0.0000
Pt 0.7499 0.9881 0.5000
Pt 0.2501 0.9881 0.5000
Pt 0.0000 0.8750 0.2476
Pt 0.0000 0.8750 0.7524
Pt 0.7501 0.0119 0.0000
Pt 0.2544 0.5370 0.0000
Pt 0.7544 0.4630 0.5000
Pt 0.5000 0.1250 0.7476
Pt 0.2499 0.0119 0.0000
Pt 0.5000 0.1250 0.2524
Pt 0.2456 0.4630 0.5000
P 0.0000 0.7622 0.0000
P 0.5000 0.2378 0.5000
Cd 0.0000 0.3031 0.7734
Cd 0.5000 0.6969 0.2734
Cd 0.0000 0.3031 0.2266
Cd 0.5000 0.6969 0.7266
Ge 0.0000 0.7192 0.5000
Ge 0.5000 0.2808 0.0000

Calculated values
Crystal system: orthorhombic
E in eV per cell: -101.510
Energy relative to the elements in eV per atom: -0.265
ρ in Mg/m³: 13.205

DFT (PBE) results for a relaxed structure of AcYZr.

Unit cell a=3.5359 b=3.5359 c=8.1490 alpha=102.53 beta=102.53 gamma=90.00
Element x y z (fractional)
Ac 0.3429 0.3429 0.6858
Zr 0.0078 0.0078 0.0156
Y 0.6493 0.6493 0.2986

Calculated values
Crystal system: tetragonal
E in eV per cell: -18.557
Energy relative to the elements in eV per atom: 0.188
ρ in Mg/m³: 6.972
Energy above the most stable polymorph in this dataset in meV per atom: 116.3

DFT (PBE) results for a relaxed structure of Zn2Au2S.

Unit cell a=7.0676 b=7.0676 c=3.5313 alpha=90.00 beta=90.00 gamma=90.00
Element x y z (fractional)
Zn 0.6527 0.8473 0.5000
Zn 0.8473 0.3473 0.5000
Zn 0.3473 0.1527 0.5000
Zn 0.1527 0.6527 0.5000
Au 0.8535 0.6465 0.0000
Au 0.1465 0.3535 0.0000
Au 0.3535 0.8535 0.0000
Au 0.6465 0.1465 0.0000
S 0.5000 0.5000 0.0000
S 0.0000 0.0000 0.0000

Calculated values
Crystal system: tetragonal
E in eV per cell: -25.972
Formation energy without anion corrections in eV/atom: 0.05
ρ in Mg/m³: 10.484
Energy above the most stable polymorph in this dataset in meV per atom: 0.0

DFT (PBE) results for a relaxed structure of KCaTa.

Unit cell a=3.4361 b=6.9962 c=10.0640 alpha=107.57 beta=80.10 gamma=75.83
Element x y z (fractional)
Ta 0.3965 0.3034 0.0980
Ta 0.7206 0.6040 0.1483
K 0.8527 0.1187 0.3671
K 0.9923 0.6788 0.5228
Ca 0.0427 0.2968 0.8143
Ca 0.1970 0.8452 0.9572

Calculated values
Crystal system: triclinic
E in eV per cell: -25.478
Energy relative to the elements in eV per atom: 0.738
ρ in Mg/m³: 4.007
Energy above the most stable polymorph in this dataset in meV per atom: 405.0

- The highest ρ belongs to which entry?
  Cd2GePPt6

- The lowest E belongs to which entry?
  Cd2GePPt6